Entry from Alexandria: a relaxed PrZnAu3 crystal (GGA-PBE).

```
PrZnAu3
1.0
3.347 -5.856 0.000
3.347 5.856 0.000
0.000 0.000 5.477
Pr Zn Au
2 2 6
direct
0.163 0.837 0.750 Pr
0.837 0.163 0.250 Pr
0.500 0.500 0.000 Zn
0.500 0.500 0.500 Zn
0.114 0.312 0.750 Au
0.308 0.692 0.250 Au
0.312 0.114 0.250 Au
0.688 0.886 0.750 Au
0.692 0.308 0.750 Au
0.886 0.688 0.250 Au
```

Properties
Spin magnetization = 0.00 μB per cell
Fermi-level density of states = 0.331 states/eV per atom
SG = Cmcm
VASP energy = -3.721 eV per atom
Offset from the most stable computed form = 0.011 eV/atom

Entry from Alexandria: a relaxed Tb6Er12Al crystal (GGA-PBE).

```
Tb6Er12Al
1.0
5.851 3.378 4.926
-5.851 3.378 4.926
0.000 -6.757 4.926
Tb Er Al
6 12 1
direct
0.205 0.594 0.758 Tb
0.242 0.795 0.406 Tb
0.406 0.242 0.795 Tb
0.594 0.758 0.205 Tb
0.758 0.205 0.594 Tb
0.795 0.406 0.242 Tb
0.038 0.280 0.936 Er
0.064 0.962 0.720 Er
0.141 0.317 0.486 Er
0.280 0.936 0.038 Er
0.317 0.486 0.141 Er
0.486 0.141 0.317 Er
0.514 0.859 0.683 Er
0.683 0.514 0.859 Er
0.720 0.064 0.962 Er
0.859 0.683 0.514 Er
0.936 0.038 0.280 Er
0.962 0.720 0.064 Er
0.500 0.500 0.500 Al
```

Properties
Spin magnetization = 0.00 μB per cell
Fermi-level density of states = 1.360 states/eV per atom
SG = R-3
VASP energy = -4.449 eV per atom

Entry from Alexandria: a relaxed AlMo3Au crystal (GGA-PBE).

```
AlMo3Au
1.0
4.836 0.000 0.000
0.000 4.836 0.000
0.000 0.000 4.836
Al Mo Au
1 3 1
direct
0.000 0.000 0.000 Al
0.000 0.500 0.500 Mo
0.500 0.000 0.500 Mo
0.500 0.500 0.000 Mo
0.500 0.500 0.500 Au
```

Properties
Spin magnetization = 0.00 μB per cell
Fermi-level density of states = 1.293 states/eV per atom
SG = Pm-3m
VASP energy = -5.752 eV per atom
Offset from the most stable computed form = 0.694 eV/atom